(1)
PBE Na2Sr2Cu, relaxed; energy of formation from the pure elements = 0.210 eV per atom; crystal system = tetragonal; DFT total energy = -1.810 eV per atom
1.0
8.2081 0.0000 0.0000
0.0000 8.2081 0.0000
0.0000 0.0000 6.3276
Na Sr Cu
4 4 2
Cartesian
1.2383 2.8658 0.0000
2.8658 6.9698 0.0000
5.3423 1.2383 0.0000
6.9698 5.3423 0.0000
1.4272 5.5313 3.1638
2.6768 1.4272 3.1638
5.5313 6.7809 3.1638
6.7809 2.6768 3.1638
0.0000 0.0000 3.1638
4.1040 4.1040 3.1638



(2)
PBE LiYSi2Pd5, relaxed; crystal system = tetragonal; ΔE_f (raw) = -0.728 eV/atom; DFT total energy = -5.749 eV per atom
1.0
4.0945 0.0000 0.0000
0.0000 4.0945 0.0000
0.0000 0.0000 9.0792
Li Y Si Pd
1 1 2 5
Cartesian
0.0000 0.0000 0.0000
0.0000 0.0000 4.5396
2.0472 2.0472 1.1637
2.0472 2.0472 7.9155
0.0000 2.0472 2.3873
0.0000 2.0472 6.6919
2.0472 0.0000 2.3873
2.0472 0.0000 6.6919
2.0472 2.0472 4.5396



(3)
PBE KZr3Cu, relaxed; energy of formation from the pure elements = 0.836 eV per atom; crystal system = cubic; DFT total energy = -5.332 eV per atom
1.0
5.1274 0.0000 0.0000
0.0000 5.1274 0.0000
0.0000 0.0000 5.1274
K Zr Cu
1 3 1
Cartesian
0.0000 0.0000 0.0000
0.0000 2.5637 2.5637
2.5637 0.0000 2.5637
2.5637 2.5637 0.0000
2.5637 2.5637 2.5637



(4)
PBE ZnPt4Rh, relaxed; energy of formation from the pure elements = 0.151 eV per atom; crystal system = cubic; DFT total energy = -5.314 eV per atom
1.0
0.0000 3.6934 3.6934
3.6934 0.0000 3.6934
3.6934 3.6934 0.0000
Zn Pt Rh
1 4 1
Cartesian
0.0000 0.0000 0.0000
4.6158 2.7710 2.7710
2.7710 4.6158 2.7710
2.7710 2.7710 4.6158
4.6158 4.6158 4.6158
1.8467 1.8467 1.8467



(5)
PBE Ta2Mo3, relaxed; energy of formation from the pure elements = 0.110 eV per atom; crystal system = orthorhombic; DFT total energy = -11.130 eV per atom
1.0
0.0000 4.5992 6.7492
2.7410 0.0000 6.7492
2.7410 4.5992 0.0000
Ta Mo
4 6
Cartesian
2.0558 3.4494 1.0043
3.4263 5.7490 4.3789
2.0558 3.4494 9.1196
3.4263 5.7490 12.4942
0.6853 1.1498 1.6873
2.0558 3.4494 3.7780
2.0558 3.4494 6.3458
3.4263 5.7490 7.1526
3.4263 5.7490 9.7205
4.7968 8.0486 11.8112



(6)
PBE Cs2KLaI6, relaxed; crystal system = cubic; ΔE_f (raw) = -1.520 eV/atom; DFT total energy = -3.223 eV per atom
1.0
0.0000 6.5363 6.5363
6.5363 0.0000 6.5363
6.5363 6.5363 0.0000
Cs K La I
2 1 1 6
Cartesian
3.2682 3.2682 3.2682
9.8045 9.8045 9.8045
0.0000 0.0000 0.0000
6.5363 6.5363 6.5363
6.5363 6.5363 3.3852
6.5363 3.3852 6.5363
9.6874 6.5363 6.5363
3.3852 6.5363 6.5363
6.5363 9.6874 6.5363
6.5363 6.5363 9.6874



(7)
PBE Na3Cd2Sn, relaxed; energy of formation from the pure elements = -0.151 eV per atom; crystal system = orthorhombic; DFT total energy = -1.782 eV per atom
1.0
2.6505 -5.3849 0.0000
2.6505 5.3849 0.0000
0.0000 0.0000 5.2679
Na Cd Sn
3 2 1
Cartesian
0.0000 0.0000 0.0000
2.6505 3.5339 2.6340
2.6505 -3.5339 2.6340
2.6505 1.8125 0.0000
2.6505 -1.8125 0.0000
2.6505 0.0000 2.6340



(8)
PBE Li3ClO, relaxed; crystal system = orthorhombic; ΔE_f (raw) = -1.758 eV/atom; DFT total energy = -4.268 eV per atom
1.0
1.8706 -6.1263 0.0000
1.8706 6.1263 0.0000
0.0000 0.0000 5.8858
Li Cl O
6 2 2
Cartesian
1.8706 5.9591 4.4143
1.8706 1.2562 3.1018
1.8706 1.2562 5.7268
1.8706 -1.2562 0.1590
1.8706 -1.2562 2.7839
1.8706 -5.9591 1.4714
1.8706 3.8186 1.4714
1.8706 -3.8186 4.4143
1.8706 0.2994 1.4714
1.8706 -0.2994 4.4143